Material: K2NdMnS4
Method: DFT, PBE-GGA
State: relaxed

The calculation puts the total moment at 4.0 μB per formula unit. The formation energy without anion corrections is -1.20 eV per atom.

```
K2NdMnS4
1.0
-3.934 4.228 6.050
3.934 -4.228 6.050
3.934 4.228 -6.050
K Nd Mn S
4 2 2 8
Direct
0.000 0.000 0.000
0.500 0.000 0.000
0.500 0.000 0.500
0.500 0.500 0.500
0.000 0.500 0.500
0.500 0.500 0.000
0.000 0.000 0.500
0.000 0.500 0.000
0.173 0.742 0.431
0.190 0.258 0.931
0.244 0.263 0.519
0.244 0.725 0.981
0.756 0.275 0.019
0.756 0.737 0.481
0.810 0.742 0.069
0.827 0.258 0.569
```